The following is a DFT calculation (PBE) of a relaxed structure of GaPdSe2.

Cell: 5.8450 5.8450 11.2462 Å, 90.00 90.00 90.00°
Space group I-42d (No. 122)
Inequivalent atoms, fractional coordinates:
Ga  0.0000  0.0000  0.0000
Pd  0.0000  0.0000  0.5000
Se  0.2480  0.2500  0.1250

## Properties
V in Å³/atom: 24.0
Uncorrected formation energy in eV per formula unit: -1.432